No. 1
# Ba2BeSi (PBE-GGA, relaxed)
# Formation energy (no corrections) ... -154 meV/atom
# Volume ... 135 Å³/cell
data_Ba2BeSi
_cell_length_a 9.326
_cell_length_b 9.326
_cell_length_c 9.326
_cell_angle_alpha 25.80
_cell_angle_beta 25.80
_cell_angle_gamma 25.80
_space_group_name_H-M_alt 'P 1'
_space_group_IT_number 1
loop_
_space_group_symop_operation_xyz
'x,y,z'
loop_
_atom_site_label
_atom_site_type_symbol
_atom_site_fract_x
_atom_site_fract_y
_atom_site_fract_z
Ba1 Ba 0.000 0.000 0.000
Ba2 Ba 0.172 0.172 0.172
Be1 Be 0.420 0.420 0.420
Si1 Si 0.753 0.753 0.753

No. 2
# PRuRh2 (PBE-GGA, relaxed)
# ΔE_f ... -59 meV per atom
# Volume ... 54 Å³/cell
data_PRuRh2
_cell_length_a 2.813
_cell_length_b 2.813
_cell_length_c 6.886
_cell_angle_alpha 90.00
_cell_angle_beta 90.00
_cell_angle_gamma 90.00
_space_group_name_H-M_alt 'P 1'
_space_group_IT_number 1
loop_
_space_group_symop_operation_xyz
'x,y,z'
loop_
_atom_site_label
_atom_site_type_symbol
_atom_site_fract_x
_atom_site_fract_y
_atom_site_fract_z
P1 P 0.000 0.000 0.000
Ru1 Ru 0.000 0.000 0.500
Rh1 Rh 0.500 0.500 0.216
Rh2 Rh 0.500 0.500 0.784

No. 3
# BiB3S (PBE-GGA, relaxed)
# Formation energy (no corrections) ... 1591 meV/atom
# Volume ... 66 Å³/cell
data_BiB3S
_cell_length_a 4.041
_cell_length_b 4.041
_cell_length_c 4.041
_cell_angle_alpha 90.00
_cell_angle_beta 90.00
_cell_angle_gamma 90.00
_space_group_name_H-M_alt 'P 1'
_space_group_IT_number 1
loop_
_space_group_symop_operation_xyz
'x,y,z'
loop_
_atom_site_label
_atom_site_type_symbol
_atom_site_fract_x
_atom_site_fract_y
_atom_site_fract_z
Bi1 Bi 0.000 0.000 0.000
B1 B 0.000 0.500 0.500
B2 B 0.500 0.000 0.500
B3 B 0.500 0.500 0.000
S1 S 0.500 0.500 0.500

No. 4
# HoSc2B2Rh5 (PBE-GGA, relaxed)
# ΔE_f ... -809 meV per atom
# Volume ... 294 Å³/cell
data_HoSc2B2Rh5
_cell_length_a 9.624
_cell_length_b 9.624
_cell_length_c 3.176
_cell_angle_alpha 90.00
_cell_angle_beta 90.00
_cell_angle_gamma 90.00
_space_group_name_H-M_alt 'P 1'
_space_group_IT_number 1
loop_
_space_group_symop_operation_xyz
'x,y,z'
loop_
_atom_site_label
_atom_site_type_symbol
_atom_site_fract_x
_atom_site_fract_y
_atom_site_fract_z
Ho1 Ho 0.000 0.000 0.000
Ho2 Ho 0.500 0.500 0.000
Sc1 Sc 0.174 0.326 0.000
Sc2 Sc 0.326 0.826 0.000
Sc3 Sc 0.674 0.174 0.000
Sc4 Sc 0.826 0.674 0.000
B1 B 0.122 0.622 0.000
B2 B 0.378 0.122 0.000
B3 B 0.622 0.878 0.000
B4 B 0.878 0.378 0.000
Rh1 Rh 0.000 0.500 0.500
Rh2 Rh 0.072 0.772 0.500
Rh3 Rh 0.228 0.072 0.500
Rh4 Rh 0.272 0.572 0.500
Rh5 Rh 0.428 0.272 0.500
Rh6 Rh 0.500 0.000 0.500
Rh7 Rh 0.572 0.728 0.500
Rh8 Rh 0.728 0.428 0.500
Rh9 Rh 0.772 0.928 0.500
Rh10 Rh 0.928 0.228 0.500

No. 5
# YSbI2O (PBE-GGA, relaxed)
# Formation energy (no corrections) ... 266 meV/atom
# Volume ... 210 Å³/cell
data_YSbI2O
_cell_length_a 5.808
_cell_length_b 5.808
_cell_length_c 6.222
_cell_angle_alpha 90.00
_cell_angle_beta 90.00
_cell_angle_gamma 90.00
_space_group_name_H-M_alt 'P 1'
_space_group_IT_number 1
loop_
_space_group_symop_operation_xyz
'x,y,z'
loop_
_atom_site_label
_atom_site_type_symbol
_atom_site_fract_x
_atom_site_fract_y
_atom_site_fract_z
Y1 Y 0.000 0.000 0.000
Sb1 Sb 0.000 0.000 0.500
I1 I 0.000 0.500 0.000
I2 I 0.500 0.000 0.000
O1 O 0.500 0.500 0.500

No. 6
# Cs3NbTe4 (PBE-GGA, relaxed)
# Formation energy (no corrections) ... -791 meV/atom
# Volume ... 414 Å³/cell
data_Cs3NbTe4
_cell_length_a 8.336
_cell_length_b 8.336
_cell_length_c 8.336
_cell_angle_alpha 122.31
_cell_angle_beta 91.81
_cell_angle_gamma 115.72
_space_group_name_H-M_alt 'P 1'
_space_group_IT_number 1
loop_
_space_group_symop_operation_xyz
'x,y,z'
loop_
_atom_site_label
_atom_site_type_symbol
_atom_site_fract_x
_atom_site_fract_y
_atom_site_fract_z
Cs1 Cs 0.000 0.000 0.000
Cs2 Cs 0.150 0.394 0.756
Cs3 Cs 0.638 0.394 0.244
Nb1 Nb 0.474 0.974 0.500
Te1 Te 0.119 0.809 0.310
Te2 Te 0.499 0.809 0.690
Te3 Te 0.648 0.408 0.760
Te4 Te 0.648 0.887 0.240